(1)
A plane-wave DFT calculation with PBE-GGA was carried out for an optimized crystal structure of Ta5Cu3H12.

## Properties
Electronic total energy in eV for the cell shown: -880.6
Size of the total moment in μB per formula unit: 0.000

```
data_Ta5Cu3H12
_cell_length_a 11.102
_cell_length_b 11.102
_cell_length_c 11.102
_cell_angle_alpha 90.00
_cell_angle_beta 90.00
_cell_angle_gamma 90.00
_symmetry_space_group_name_H-M 'I a -3 d'
_symmetry_Int_Tables_number 230
_symmetry_space_group_name_Hall '-I 4bd 2c 3'
loop_
_atom_site_label
_atom_site_fract_x
_atom_site_fract_y
_atom_site_fract_z
_atom_site_occupancy
Ta1 0.000 0.000 0.000 1
Ta2 0.000 0.250 0.375 1
Cu1 0.000 0.250 0.125 1
H1 0.006 0.058 0.161 1
```

---

(2)
A plane-wave DFT calculation with PBE-GGA was carried out for an optimized crystal structure of AcZnAg3.

## Properties
Formation energy from the elements in meV/atom: -26
Electronic total energy in eV for the cell shown: -14.1
E above lowest polymorph in kcal/mol of atoms: 4.47
Size of the total moment in μB per formula unit: 0.000

```
data_AcZnAg3
_cell_length_a 4.984
_cell_length_b 4.984
_cell_length_c 4.984
_cell_angle_alpha 90.00
_cell_angle_beta 90.00
_cell_angle_gamma 90.00
_symmetry_space_group_name_H-M 'P m -3 m'
_symmetry_Int_Tables_number 221
_symmetry_space_group_name_Hall '-P 4 2 3'
loop_
_atom_site_label
_atom_site_fract_x
_atom_site_fract_y
_atom_site_fract_z
_atom_site_occupancy
Ac1 0.000 0.000 0.000 1
Zn1 0.500 0.500 0.500 1
Ag1 0.000 0.500 0.500 1
```

---

(3)
A plane-wave DFT calculation with PBE-GGA was carried out for an optimized crystal structure of RbLa2TaIn.

## Properties
Formation energy from the elements in meV/atom: 1411
Electronic total energy in eV for the cell shown: -18.4
Size of the total moment in μB per formula unit: 5.081

```
data_RbLa2TaIn
_cell_length_a 6.076
_cell_length_b 6.076
_cell_length_c 6.221
_cell_angle_alpha 90.00
_cell_angle_beta 90.00
_cell_angle_gamma 90.00
_symmetry_space_group_name_H-M 'P 4/m m m'
_symmetry_Int_Tables_number 123
_symmetry_space_group_name_Hall '-P 4 2'
loop_
_atom_site_label
_atom_site_fract_x
_atom_site_fract_y
_atom_site_fract_z
_atom_site_occupancy
Rb1 0.000 0.000 0.000 1
La1 0.000 0.500 0.500 1
Ta1 0.500 0.500 0.000 1
In1 0.000 0.000 0.500 1
```

---

(4)
A plane-wave DFT calculation with PBE-GGA was carried out for an optimized crystal structure of TbErTmSc2.

## Properties
Formation energy from the elements in meV/atom: 354
Electronic total energy in eV for the cell shown: -98.2
Size of the total moment in μB per formula unit: 1.082

```
data_TbErTmSc2
_cell_length_a 6.015
_cell_length_b 16.666
_cell_length_c 6.014
_cell_angle_alpha 90.00
_cell_angle_beta 90.00
_cell_angle_gamma 90.00
_symmetry_space_group_name_H-M 'C m c m'
_symmetry_Int_Tables_number 63
_symmetry_space_group_name_Hall '-C 2c 2'
loop_
_atom_site_label
_atom_site_fract_x
_atom_site_fract_y
_atom_site_fract_z
_atom_site_occupancy
Tb1 0.000 0.154 0.250 1
Er1 0.000 0.249 0.750 1
Tm1 0.000 0.348 0.250 1
Sc1 0.250 0.000 0.000 1
```

---

(5)
A plane-wave DFT calculation with PBE-GGA was carried out for an optimized crystal structure of LaHo3Zn2.

## Properties
Formation energy from the elements in meV/atom: -225
Electronic total energy in eV for the cell shown: -22.6
Size of the total moment in μB per formula unit: 0.000

```
data_LaHo3Zn2
_cell_length_a 3.568
_cell_length_b 3.568
_cell_length_c 12.413
_cell_angle_alpha 90.00
_cell_angle_beta 90.00
_cell_angle_gamma 90.00
_symmetry_space_group_name_H-M 'P 4/m m m'
_symmetry_Int_Tables_number 123
_symmetry_space_group_name_Hall '-P 4 2'
loop_
_atom_site_label
_atom_site_fract_x
_atom_site_fract_y
_atom_site_fract_z
_atom_site_occupancy
La1 0.000 0.000 0.000 1
Ho1 0.500 0.500 0.217 1
Ho2 0.500 0.500 0.500 1
Zn1 0.000 0.000 0.359 1
```

---

(6)
A plane-wave DFT calculation with PBE-GGA was carried out for an optimized crystal structure of KSi3B.

## Properties
Electronic total energy in eV for the cell shown: -19.6
Formation energy without anion corrections in eV per atom: 0.891
E above lowest polymorph in kcal/mol of atoms: 0.00
Size of the total moment in μB per formula unit: 0.000

```
data_KSi3B
_cell_length_a 4.489
_cell_length_b 4.489
_cell_length_c 4.489
_cell_angle_alpha 90.00
_cell_angle_beta 90.00
_cell_angle_gamma 90.00
_symmetry_space_group_name_H-M 'P m -3 m'
_symmetry_Int_Tables_number 221
_symmetry_space_group_name_Hall '-P 4 2 3'
loop_
_atom_site_label
_atom_site_fract_x
_atom_site_fract_y
_atom_site_fract_z
_atom_site_occupancy
K1 0.000 0.000 0.000 1
Si1 0.000 0.500 0.500 1
B1 0.500 0.500 0.500 1
```